1.
TiGaAg | PBE-GGA | optimized geometry

Computed properties:
The energy of formation from the pure elements is -0.146 eV per atom. The calculation puts the density of states at the Fermi level at 8.38 states/eV per cell. The total magnetization comes out at 0.000 μB/atom. The symmetry is Pnma.

CIF file:
```
data_TiGaAg
_cell_length_a 5.572
_cell_length_b 4.273
_cell_length_c 8.418
_cell_angle_alpha 90.00
_cell_angle_beta 90.00
_cell_angle_gamma 90.00
_space_group_name_H-M_alt 'P 1'
_space_group_IT_number 1
loop_
_space_group_symop_operation_xyz
'x,y,z'
loop_
_atom_site_label
_atom_site_fract_x
_atom_site_fract_y
_atom_site_fract_z
Ti1 0.163 0.250 0.067
Ti2 0.337 0.750 0.567
Ti3 0.663 0.250 0.433
Ti4 0.837 0.750 0.933
Ga1 0.185 0.250 0.398
Ga2 0.315 0.750 0.898
Ga3 0.685 0.250 0.102
Ga4 0.815 0.750 0.602
Ag1 0.049 0.250 0.722
Ag2 0.451 0.750 0.222
Ag3 0.549 0.250 0.778
Ag4 0.951 0.750 0.278
```

---

2.
TiGaAg | PBE-GGA | optimized geometry

Computed properties:
The energy of formation from the pure elements is -0.176 eV per atom. The calculation puts the density of states at the Fermi level at 6.50 states/eV per cell. The total magnetization comes out at 0.000 μB/atom. The symmetry is Pm.

CIF file:
```
data_TiGaAg
_cell_length_a 4.884
_cell_length_b 2.827
_cell_length_c 7.624
_cell_angle_alpha 90.00
_cell_angle_beta 108.66
_cell_angle_gamma 90.00
_space_group_name_H-M_alt 'P 1'
_space_group_IT_number 1
loop_
_space_group_symop_operation_xyz
'x,y,z'
loop_
_atom_site_label
_atom_site_fract_x
_atom_site_fract_y
_atom_site_fract_z
Ti1 0.000 0.000 0.000
Ti2 0.359 0.000 0.717
Ga1 0.520 0.500 0.046
Ga2 0.832 0.500 0.671
Ag1 0.352 0.500 0.359
Ag2 0.861 0.000 0.359
```

---

Q: Which formula does entry 1 have?
A: TiGaAg

---

Q: Among the records above, which one has the highest energy of formation from the pure elements?
A: number 1